1.
Here is a geometry-optimized LiAc2Mg3Cd12 structure from the Alexandria database. Energies are from PBE-GGA.

a b c (Å): 6.6070 6.6070 38.7089
angles (deg): 90.00 90.00 120.00
Space group R-3m (No. 166, hexagonal axes)
Symmetry-distinct sites (fractional):
Li (0.0000, 0.0000, 0.0000) [3 per cell]
Ac (0.0000, 0.0000, 0.3588) [6 per cell]
Mg (0.0000, 0.5000, 0.5000) [9 per cell]
Cd (0.0035, 0.5018, 0.6126) [18 per cell]
Cd (0.0298, 0.5149, 0.1107) [18 per cell]

Properties
- ΔH_f (0 K) (eV per atom) = -0.056
- spin magnetization (μB/f.u.) = 0.0

---

2.
Here is a geometry-optimized BaCu2Te structure from the Alexandria database. Energies are from PBE-GGA.

a b c (Å): 4.984 4.984 18.724
angles (deg): 90.00 90.00 90.00
Space group I4_1/amd (No. 141, origin choice 2)
Symmetry-distinct sites (fractional):
Ba (0.000, 0.250, 0.375) [4 per cell]
Cu (0.000, 0.000, 0.000) [8 per cell]
Te (0.000, 0.250, 0.875) [4 per cell]

Properties
- E_form (uncorrected) (eV/atom) = -0.293
- spin magnetization (μB/f.u.) = 0.0

---

3.
Here is a geometry-optimized Na3Hf3NiS8 structure from the Alexandria database. Energies are from PBE-GGA.

a b c (Å): 7.2906 7.2906 20.3709
angles (deg): 90.00 90.00 120.00
Space group R-3m (No. 166, hexagonal axes)
Symmetry-distinct sites (fractional):
Na (0.0000, 0.5000, 0.0000) [9 per cell]
Hf (0.0000, 0.5000, 0.5000) [9 per cell]
Ni (0.0000, 0.0000, 0.5000) [3 per cell]
S (0.0000, 0.0000, 0.2401) [6 per cell]
S (0.0055, 0.5028, 0.2359) [18 per cell]

Properties
- E_form (uncorrected) (eV/atom) = -1.295
- spin magnetization (μB/f.u.) = 1.8

---

4.
Here is a geometry-optimized LiLa4P structure from the Alexandria database. Energies are from PBE-GGA.

a b c (Å): 9.063 9.063 9.063
angles (deg): 90.00 90.00 90.00
Space group F-43m (No. 216)
Symmetry-distinct sites (fractional):
Li (0.000, 0.000, 0.000) [4 per cell]
La (0.122, 0.122, 0.378) [16 per cell]
P (0.250, 0.250, 0.750) [4 per cell]

Properties
- ΔH_f (0 K) (eV per atom) = 0.355
- spin magnetization (μB/f.u.) = 0.0

---

5.
Here is a geometry-optimized LaTc2P structure from the Alexandria database. Energies are from PBE-GGA.

a b c (Å): 3.302 4.268 10.064
angles (deg): 90.00 90.00 90.00
Space group Imm2 (No. 44)
Symmetry-distinct sites (fractional):
La (0.000, 0.000, 0.000) [2 per cell]
Tc (0.000, 0.000, 0.570) [2 per cell]
Tc (0.000, 0.500, 0.776) [2 per cell]
P (0.000, 0.500, 0.242) [2 per cell]

Properties
- ΔH_f (0 K) (eV per atom) = 0.116
- spin magnetization (μB/f.u.) = 0.0

---

- What is the formula in the fifth record?
  LaTc2P